(1)
# Ba5IrPd (GGA-PBE, relaxed)
# **Total magnetization**: 0.0 μB/cell
# **Energy of formation from the pure elements**: -0.174 eV/atom
data_Ba5IrPd
_symmetry_space_group_name_H-M 'C 1 2/c 1'
_symmetry_Int_Tables_number 15
_symmetry_space_group_name_Hall '-C 2yc'
_cell_length_a 11.9072
_cell_length_b 10.2427
_cell_length_c 11.9366
_cell_angle_alpha 90.00
_cell_angle_beta 111.71
_cell_angle_gamma 90.00
loop_
_atom_site_label
_atom_site_type_symbol
_atom_site_fract_x
_atom_site_fract_y
_atom_site_fract_z
Ba1 Ba 0.0000 0.2448 0.2500
Ba2 Ba 0.1065 0.1861 0.6474
Ba3 Ba 0.1894 0.4657 0.0095
Ir1 Ir 0.2500 0.2500 0.5000
Pd1 Pd 0.0000 0.4355 0.7500

=====

(2)
# ErZn8Ag3 (GGA-PBE, relaxed)
# **Total magnetization**: 0.0 μB/cell
# **Energy of formation from the pure elements**: -0.115 eV/atom
data_ErZn8Ag3
_symmetry_space_group_name_H-M 'P 3 m 1'
_symmetry_Int_Tables_number 156
_symmetry_space_group_name_Hall 'P 3 -2"'
_cell_length_a 5.1523
_cell_length_b 5.1523
_cell_length_c 8.6431
_cell_angle_alpha 90.00
_cell_angle_beta 90.00
_cell_angle_gamma 120.00
loop_
_atom_site_label
_atom_site_type_symbol
_atom_site_fract_x
_atom_site_fract_y
_atom_site_fract_z
Er1 Er 0.0000 0.0000 0.0000
Zn1 Zn 0.1629 0.3258 0.6854
Zn2 Zn 0.3333 0.6667 0.4453
Zn3 Zn 0.3333 0.6667 0.9387
Zn4 Zn 0.5021 0.0043 0.1979
Ag1 Ag 0.0000 0.0000 0.3685
Ag2 Ag 0.6667 0.3333 0.5044
Ag3 Ag 0.6667 0.3333 0.8736

=====

(3)
# TlIr2PtO (GGA-PBE, relaxed)
# **Total magnetization**: 3.7 μB/cell
# **Formation energy without anion corrections**: 178 kJ/mol of atoms
data_TlIr2PtO
_symmetry_space_group_name_H-M 'P 4/m m m'
_symmetry_Int_Tables_number 123
_symmetry_space_group_name_Hall '-P 4 2'
_cell_length_a 4.8446
_cell_length_b 4.8446
_cell_length_c 5.3587
_cell_angle_alpha 90.00
_cell_angle_beta 90.00
_cell_angle_gamma 90.00
loop_
_atom_site_label
_atom_site_type_symbol
_atom_site_fract_x
_atom_site_fract_y
_atom_site_fract_z
Tl1 Tl 0.0000 0.0000 0.0000
Ir1 Ir 0.0000 0.5000 0.5000
Pt1 Pt 0.0000 0.0000 0.5000
O1 O 0.5000 0.5000 0.0000

=====

(4)
# Li2PmDy2Ge2 (GGA-PBE, relaxed)
# **Total magnetization**: 0.0 μB/cell
# **Energy of formation from the pure elements**: -0.488 eV/atom
data_Li2PmDy2Ge2
_symmetry_space_group_name_H-M 'R -3 m'
_symmetry_Int_Tables_number 166
_symmetry_space_group_name_Hall '-R 3 2"'
_cell_length_a 4.4969
_cell_length_b 4.4969
_cell_length_c 27.0040
_cell_angle_alpha 90.00
_cell_angle_beta 90.00
_cell_angle_gamma 120.00
loop_
_atom_site_label
_atom_site_type_symbol
_atom_site_fract_x
_atom_site_fract_y
_atom_site_fract_z
Li1 Li 0.0000 0.0000 0.0965
Pm1 Pm 0.0000 0.0000 0.5000
Dy1 Dy 0.0000 0.0000 0.3723
Ge1 Ge 0.0000 0.0000 0.2389

=====

(5)
# CeY2Rh (GGA-PBE, relaxed)
# **Total magnetization**: 5.7 μB/cell
# **Energy of formation from the pure elements**: -0.240 eV/atom
# **Excess energy over the best structure of this formula in the dataset**: 0.218 eV per atom
data_CeY2Rh
_symmetry_space_group_name_H-M 'R 3 m'
_symmetry_Int_Tables_number 160
_symmetry_space_group_name_Hall 'R 3 -2"'
_cell_length_a 3.8010
_cell_length_b 3.8010
_cell_length_c 28.1420
_cell_angle_alpha 90.00
_cell_angle_beta 90.00
_cell_angle_gamma 120.00
loop_
_atom_site_label
_atom_site_type_symbol
_atom_site_fract_x
_atom_site_fract_y
_atom_site_fract_z
Ce1 Ce 0.0000 0.0000 0.0000
Y1 Y 0.0000 0.0000 0.2274
Y2 Y 0.0000 0.0000 0.4423
Rh1 Rh 0.0000 0.0000 0.8350

=====

(6)
# MnAlPt (GGA-PBE, relaxed)
# **Total magnetization**: 7.3 μB/cell
# **Energy of formation from the pure elements**: -0.512 eV/atom
data_MnAlPt
_symmetry_space_group_name_H-M 'I m m 2'
_symmetry_Int_Tables_number 44
_symmetry_space_group_name_Hall 'I 2 -2'
_cell_length_a 2.8082
_cell_length_b 3.8011
_cell_length_c 8.1886
_cell_angle_alpha 90.00
_cell_angle_beta 90.00
_cell_angle_gamma 90.00
loop_
_atom_site_label
_atom_site_type_symbol
_atom_site_fract_x
_atom_site_fract_y
_atom_site_fract_z
Mn1 Mn 0.0000 0.0000 0.0000
Al1 Al 0.0000 0.0000 0.3330
Pt1 Pt 0.0000 0.0000 0.6726